Ho4Ga12Ge PBE relaxed; ΔH_f (0 K) = -440 meV per atom; symmetry = Im-3m, No. 229
1.0
-5.530 -1.355 -4.994
6.696 -0.198 -3.533
-0.149 -5.282 5.426
Ga Ho Ge
12 4 1
Cartesian
-1.742 -2.036 0.132 Ga
-1.203 -4.688 0.689 Ga
0.358 -0.476 -2.616 Ga
2.009 -1.681 0.581 Ga
1.854 -4.399 1.055 Ga
0.808 -1.076 -5.911 Ga
-2.548 -3.706 -1.916 Ga
3.565 -3.128 -1.185 Ga
4.539 -3.799 1.312 Ga
2.220 -2.146 -3.790 Ga
-0.837 -2.435 -4.156 Ga
-3.937 -4.601 0.299 Ga
0.509 -3.417 -1.551 Ho
3.348 -0.099 -1.766 Ho
-0.074 -2.641 2.713 Ho
-2.765 -0.677 -2.497 Ho
0.000 0.000 0.000 Ge

=====

ZnSb2Pb PBE relaxed; formation energy without anion corrections = 0.153 eV/atom; symmetry = Cm, No. 8
1.0
5.727 0.062 0.284
4.285 3.800 0.284
2.368 0.913 5.176
Sb Pb Zn
2 1 1
Cartesian
2.480 0.956 4.921 Sb
9.388 3.621 3.967 Sb
2.775 1.070 1.438 Pb
6.296 2.429 3.466 Zn

=====

Sm3ZnSi4 PBE relaxed; formation energy without anion corrections = -0.513 eV/atom; symmetry = Cmmm, No. 65
1.0
-2.075 3.454 -1.781
-3.581 -2.152 -0.002
-0.925 1.526 9.486
Sm Si Zn
3 4 1
Cartesian
-1.790 -1.076 -0.001 Sm
-5.956 1.794 4.971 Sm
-0.625 1.034 2.733 Sm
-3.703 2.102 2.944 Si
-3.220 1.295 0.816 Si
-2.878 0.725 4.760 Si
-3.362 1.532 6.888 Si
-1.038 1.727 -0.890 Zn

=====

LaCo2Rh PBE relaxed; ΔH_f (0 K) = -158 meV per atom; symmetry = R3m, No. 160
1.0
4.224 -0.004 0.013
2.115 3.656 0.013
2.100 1.210 4.958
Co Rh La
2 1 1
Cartesian
2.100 1.210 4.898 Co
6.326 3.645 4.673 Co
2.111 1.217 0.378 Rh
4.220 2.432 2.484 La

=====

Q: Which formula does entry 3 have?
A: Sm3ZnSi4